The following is a PBE+U calculation of a relaxed structure of KVO2, from Alexandria via LeMat-Bulk.

POSCAR file:
```
KVO2
1.0
5.164 0.000 0.000
0.000 2.994 0.000
-1.696 0.000 6.395
K V O
2 2 4
Direct
0.000 0.000 0.000
0.500 0.500 0.000
0.179 0.000 0.505
0.679 0.500 0.505
0.064 0.500 0.694
0.440 0.000 0.317
0.564 0.000 0.694
0.940 0.500 0.317
```

Calculated values
As for the total energy: -6.15 eV/atom. Its density of states at the Fermi level is 0.08 states/eV per cell. The calculated volume comes out at 98.85 Å³/cell.